No. 1
! Zn6GaRh | Alexandria | GGA-PBE | optimized geometry; values from VASP
&SYSTEM
  ibrav = 0, nat = 8, ntyp = 3
/
ATOMIC_SPECIES
Zn 65.41 Zn.upf
Ga 69.72 Ga.upf
Rh 102.91 Rh.upf
CELL_PARAMETERS angstrom
4.909 0.000 0.000
-0.569 4.898 0.000
-0.362 -0.398 4.985
ATOMIC_POSITIONS crystal
Zn 0.013 0.470 0.243
Zn 0.256 0.977 0.040
Zn 0.461 0.741 0.520
Zn 0.539 0.259 0.480
Zn 0.744 0.023 0.960
Zn 0.987 0.530 0.757
Ga 0.000 0.000 0.500
Rh 0.500 0.500 0.000
! **Energy of formation from the pure elements**: -0.101 eV per atom
! **E**: -2.35 eV/atom



No. 2
! Zn4GaRh | Alexandria | GGA-PBE | optimized geometry; values from VASP
&SYSTEM
  ibrav = 0, nat = 6, ntyp = 3
/
ATOMIC_SPECIES
Zn 65.41 Zn.upf
Ga 69.72 Ga.upf
Rh 102.91 Rh.upf
CELL_PARAMETERS angstrom
0.000 3.521 3.521
3.521 0.000 3.521
3.521 3.521 0.000
ATOMIC_POSITIONS crystal
Zn 0.125 0.125 0.125
Zn 0.125 0.125 0.624
Zn 0.125 0.624 0.125
Zn 0.624 0.125 0.125
Ga 0.750 0.750 0.750
Rh 0.500 0.500 0.500
! **Energy of formation from the pure elements**: -0.078 eV per atom
! **E**: -2.66 eV/atom
! **Energy above the most stable polymorph in this dataset**: 75 kJ/mol of formula units



No. 3
! ZnGaRh | Alexandria | GGA-PBE | optimized geometry; values from VASP
&SYSTEM
  ibrav = 0, nat = 3, ntyp = 3
/
ATOMIC_SPECIES
Zn 65.41 Zn.upf
Ga 69.72 Ga.upf
Rh 102.91 Rh.upf
CELL_PARAMETERS angstrom
4.181 0.000 0.000
-2.090 3.621 0.000
0.000 0.000 2.903
ATOMIC_POSITIONS crystal
Zn 0.000 0.000 0.000
Ga 0.333 0.667 0.332
Rh 0.667 0.333 0.560
! **Energy of formation from the pure elements**: -0.354 eV per atom
! **E**: -4.24 eV/atom